A relaxed CePa2TiS8 crystal, computed with GGA-PBE. Values from VASP.

The structure in Quantum ESPRESSO input format:
```
&SYSTEM
  ibrav = 0, nat = 12, ntyp = 4
/
ATOMIC_SPECIES
Ce 140.12 Ce.upf
Pa 231.04 Pa.upf
Ti 47.87 Ti.upf
S 32.06 S.upf
CELL_PARAMETERS angstrom
6.0510 0.0000 0.0000
0.0000 8.0562 0.0000
-0.1485 0.0000 6.2964
ATOMIC_POSITIONS crystal
Ce 0.0000 0.0000 0.0000
Pa 0.5000 0.2586 0.5000
Pa 0.5000 0.7414 0.5000
Ti 0.0000 0.5000 0.0000
S 0.2205 0.2783 0.1681
S 0.2205 0.7217 0.1681
S 0.2701 0.5000 0.6823
S 0.2769 0.0000 0.6498
S 0.7231 0.0000 0.3502
S 0.7299 0.5000 0.3177
S 0.7795 0.2783 0.8319
S 0.7795 0.7217 0.8319
```

Values from the calculation:
ΔE_f (raw): -1.48 eV per atom
density of states at the Fermi level: 1.140 states/eV per atom
magnetization: 2.06 μB per cell
E_tot: -0.256 hartree per atom

A relaxed Ce2PaTl2S6 crystal, computed with GGA-PBE. Values from VASP.

The structure in Quantum ESPRESSO input format:
```
&SYSTEM
  ibrav = 0, nat = 11, ntyp = 4
/
ATOMIC_SPECIES
Ce 140.12 Ce.upf
Pa 231.04 Pa.upf
Tl 204.38 Tl.upf
S 32.06 S.upf
CELL_PARAMETERS angstrom
3.5898 -6.1849 0.0000
3.5898 6.1849 0.0000
-2.4112 0.0000 7.5224
ATOMIC_POSITIONS crystal
Ce 0.1653 0.8347 0.0000
Ce 0.8347 0.1653 0.0000
Pa 0.5000 0.5000 0.0000
Tl 0.3317 0.6683 0.5000
Tl 0.6683 0.3317 0.5000
S 0.1152 0.4376 0.8059
S 0.2515 0.2515 0.1983
S 0.4376 0.1152 0.8059
S 0.5624 0.8848 0.1941
S 0.7485 0.7485 0.8017
S 0.8848 0.5624 0.1941
```

Values from the calculation:
ΔE_f (raw): -1.46 eV per atom
density of states at the Fermi level: 1.628 states/eV per atom
magnetization: 3.03 μB per cell
E_tot: -0.224 hartree per atom

A relaxed Ce2PaTl3S6 crystal, computed with GGA-PBE. Values from VASP.

The structure in Quantum ESPRESSO input format:
```
&SYSTEM
  ibrav = 0, nat = 12, ntyp = 4
/
ATOMIC_SPECIES
Ce 140.12 Ce.upf
Pa 231.04 Pa.upf
Tl 204.38 Tl.upf
S 32.06 S.upf
CELL_PARAMETERS angstrom
3.5831 -6.2034 0.0000
3.5831 6.2034 0.0000
-2.3845 0.0000 7.5757
ATOMIC_POSITIONS crystal
Ce 0.1662 0.8338 0.0000
Ce 0.8338 0.1662 0.0000
Pa 0.5000 0.5000 0.0000
Tl 0.0000 0.0000 0.5000
Tl 0.3321 0.6679 0.5000
Tl 0.6679 0.3321 0.5000
S 0.1138 0.4346 0.8032
S 0.2465 0.2465 0.2000
S 0.4346 0.1138 0.8032
S 0.5654 0.8862 0.1968
S 0.7535 0.7535 0.8000
S 0.8862 0.5654 0.1968
```

Values from the calculation:
ΔE_f (raw): -1.31 eV per atom
density of states at the Fermi level: 1.412 states/eV per atom
magnetization: 4.09 μB per cell
E_tot: -0.211 hartree per atom

A relaxed Ce2TmPaS4 crystal, computed with GGA-PBE. Values from VASP.

The structure in Quantum ESPRESSO input format:
```
&SYSTEM
  ibrav = 0, nat = 8, ntyp = 4
/
ATOMIC_SPECIES
Ce 140.12 Ce.upf
Tm 168.93 Tm.upf
Pa 231.04 Pa.upf
S 32.06 S.upf
CELL_PARAMETERS angstrom
6.8358 0.0000 0.0000
0.0000 3.9045 0.0000
-2.2222 0.0000 6.4860
ATOMIC_POSITIONS crystal
Ce 0.0000 0.0000 0.0000
Ce 0.0000 0.5000 0.5000
Tm 0.5000 0.0000 0.5000
Pa 0.5000 0.5000 0.0000
S 0.2605 0.0000 0.7486
S 0.2644 0.5000 0.2590
S 0.7356 0.5000 0.7410
S 0.7395 0.0000 0.2514
```

Values from the calculation:
ΔE_f (raw): -1.91 eV per atom
density of states at the Fermi level: 1.470 states/eV per atom
magnetization: 0.43 μB per cell
E_tot: -0.265 hartree per atom

A relaxed CeU2PaS4 crystal, computed with GGA-PBE. Values from VASP.

The structure in Quantum ESPRESSO input format:
```
&SYSTEM
  ibrav = 0, nat = 8, ntyp = 4
/
ATOMIC_SPECIES
Ce 140.12 Ce.upf
U 238.03 U.upf
Pa 231.04 Pa.upf
S 32.06 S.upf
CELL_PARAMETERS angstrom
0.0000 3.9191 5.5394
3.9028 0.0000 5.5394
3.9028 3.9191 0.0000
ATOMIC_POSITIONS crystal
Ce 0.0000 0.0000 0.0000
U 0.2500 0.2500 0.2500
U 0.7500 0.7500 0.7500
Pa 0.5000 0.5000 0.5000
S 0.0000 0.0000 0.5000
S 0.2522 0.2522 0.7478
S 0.5000 0.5000 0.0000
S 0.7478 0.7478 0.2522
```

Values from the calculation:
ΔE_f (raw): -1.58 eV per atom
density of states at the Fermi level: 2.000 states/eV per atom
magnetization: 5.81 μB per cell
E_tot: -0.308 hartree per atom

A relaxed CeZrPa2S8 crystal, computed with GGA-PBE. Values from VASP.

The structure in Quantum ESPRESSO input format:
```
&SYSTEM
  ibrav = 0, nat = 12, ntyp = 4
/
ATOMIC_SPECIES
Ce 140.12 Ce.upf
Zr 91.22 Zr.upf
Pa 231.04 Pa.upf
S 32.06 S.upf
CELL_PARAMETERS angstrom
6.1448 0.0000 0.0000
0.0000 8.1243 0.0000
-0.0823 0.0000 6.3965
ATOMIC_POSITIONS crystal
Ce 0.0000 0.0000 0.0000
Zr 0.0000 0.5000 0.0000
Pa 0.5000 0.2560 0.5000
Pa 0.5000 0.7440 0.5000
S 0.2261 0.2702 0.1700
S 0.2261 0.7298 0.1700
S 0.2718 0.5000 0.6782
S 0.2803 0.0000 0.6540
S 0.7197 0.0000 0.3460
S 0.7282 0.5000 0.3218
S 0.7739 0.2702 0.8300
S 0.7739 0.7298 0.8300
```

Values from the calculation:
ΔE_f (raw): -1.56 eV per atom
density of states at the Fermi level: 0.929 states/eV per atom
magnetization: 2.12 μB per cell
E_tot: -0.261 hartree per atom

A relaxed Ce2PaSb crystal, computed with GGA-PBE. Values from VASP.

The structure in Quantum ESPRESSO input format:
```
&SYSTEM
  ibrav = 0, nat = 4, ntyp = 3
/
ATOMIC_SPECIES
Ce 140.12 Ce.upf
Pa 231.04 Pa.upf
Sb 121.76 Sb.upf
CELL_PARAMETERS angstrom
2.0250 1.1691 7.4655
-2.0250 1.1691 7.4655
0.0000 -2.3382 7.4655
ATOMIC_POSITIONS crystal
Ce 0.2402 0.2402 0.2402
Ce 0.7598 0.7598 0.7598
Pa 0.5000 0.5000 0.5000
Sb 0.0000 0.0000 0.0000
```

Values from the calculation:
ΔE_f (raw): 0.06 eV per atom
density of states at the Fermi level: 2.626 states/eV per atom
magnetization: 1.14 μB per cell
excess energy over the best structure of this formula in the dataset: 0.484 eV/atom
E_tot: -0.232 hartree per atom

A relaxed CePaSb crystal, computed with GGA-PBE. Values from VASP.

The structure in Quantum ESPRESSO input format:
```
&SYSTEM
  ibrav = 0, nat = 6, ntyp = 3
/
ATOMIC_SPECIES
Ce 140.12 Ce.upf
Pa 231.04 Pa.upf
Sb 121.76 Sb.upf
CELL_PARAMETERS angstrom
3.5281 -2.9473 0.0000
3.5281 2.9473 0.0000
-3.0275 0.0000 8.1159
ATOMIC_POSITIONS crystal
Ce 0.1812 0.1812 0.3703
Ce 0.8188 0.8188 0.6297
Pa 0.1281 0.1281 0.9172
Pa 0.8719 0.8719 0.0828
Sb 0.4653 0.4653 0.7591
Sb 0.5347 0.5347 0.2409
```

Values from the calculation:
ΔE_f (raw): -0.26 eV per atom
density of states at the Fermi level: 2.499 states/eV per atom
magnetization: 1.57 μB per cell
excess energy over the best structure of this formula in the dataset: 0.143 eV/atom
E_tot: -0.249 hartree per atom

A relaxed Ce2PaSb crystal, computed with GGA-PBE. Values from VASP.

The structure in Quantum ESPRESSO input format:
```
&SYSTEM
  ibrav = 0, nat = 4, ntyp = 3
/
ATOMIC_SPECIES
Ce 140.12 Ce.upf
Pa 231.04 Pa.upf
Sb 121.76 Sb.upf
CELL_PARAMETERS angstrom
0.0000 3.7754 3.7754
3.7754 0.0000 3.7754
3.7754 3.7754 0.0000
ATOMIC_POSITIONS crystal
Ce 0.2500 0.2500 0.2500
Ce 0.7500 0.7500 0.7500
Pa 0.0000 0.0000 0.0000
Sb 0.5000 0.5000 0.5000
```

Values from the calculation:
ΔE_f (raw): -0.15 eV per atom
density of states at the Fermi level: 2.456 states/eV per atom
magnetization: 4.40 μB per cell
excess energy over the best structure of this formula in the dataset: 0.266 eV/atom
E_tot: -0.240 hartree per atom

A relaxed Ce2PaSb4 crystal, computed with GGA-PBE. Values from VASP.

The structure in Quantum ESPRESSO input format:
```
&SYSTEM
  ibrav = 0, nat = 7, ntyp = 3
/
ATOMIC_SPECIES
Ce 140.12 Ce.upf
Pa 231.04 Pa.upf
Sb 121.76 Sb.upf
CELL_PARAMETERS angstrom
4.3447 0.0000 0.0000
0.0000 4.3447 0.0000
0.0000 0.0000 11.6271
ATOMIC_POSITIONS crystal
Ce 0.0000 0.5000 0.2146
Ce 0.5000 0.0000 0.7854
Pa 0.0000 0.0000 0.5000
Sb 0.0000 0.0000 0.0000
Sb 0.0000 0.5000 0.6889
Sb 0.5000 0.0000 0.3111
Sb 0.5000 0.5000 0.0000
```

Values from the calculation:
ΔE_f (raw): -0.54 eV per atom
density of states at the Fermi level: 2.254 states/eV per atom
magnetization: 4.31 μB per cell
excess energy over the best structure of this formula in the dataset: 0.281 eV/atom
E_tot: -0.219 hartree per atom